1.
Compound: ZrScTe
Source: the Alexandria database
Functional: PBE
Structure: optimized geometry

Lattice parameters (Å, degrees): 4.1394 4.1394 8.0296 90.00 90.00 90.00
Fractional coordinates of all 6 atoms:
Sc 0.2500 0.2500 0.6400
Te 0.7500 0.7500 0.7243
Te 0.2500 0.2500 0.2757
Zr 0.2500 0.7500 0.0000
Zr 0.7500 0.2500 0.0000
Sc 0.7500 0.7500 0.3600

Summary:
Uncorrected formation energy ... -727 meV/atom
Excess energy over the best structure of this formula in the dataset ... 0.000 eV per formula unit

2.
Compound: Tl2TeO6
Source: the Alexandria database
Functional: PBE
Structure: optimized geometry

Lattice parameters (Å, degrees): 4.0876 5.4030 6.2228 115.73 109.17 90.00
Fractional coordinates of all 9 atoms:
O 0.8504 0.0897 0.7008
O 0.8504 0.6111 0.7008
Tl 0.3357 0.3357 0.6713
Te 0.0000 0.0000 0.0000
O 0.5000 0.2177 0.0000
O 0.5000 0.7823 0.0000
O 0.1496 0.3889 0.2992
O 0.1496 0.9103 0.2992
Tl 0.6643 0.6643 0.3287

Summary:
Uncorrected formation energy ... -521 meV/atom
Excess energy over the best structure of this formula in the dataset ... 2.724 eV per formula unit

3.
Compound: SbPPb2
Source: the Alexandria database
Functional: PBE
Structure: optimized geometry

Lattice parameters (Å, degrees): 4.0472 3.2215 8.6623 84.77 90.00 90.00
Fractional coordinates of all 4 atoms:
Pb 0.0000 0.8009 0.2803
P 0.5000 0.5000 0.5000
Sb 0.5000 0.5000 0.0000
Pb 0.0000 0.1991 0.7197

Summary:
Uncorrected formation energy ... 233 meV/atom
Excess energy over the best structure of this formula in the dataset ... 0.467 eV per formula unit

4.
Compound: K3AgPd2F9
Source: the Alexandria database
Functional: PBE
Structure: optimized geometry

Lattice parameters (Å, degrees): 6.1414 6.1414 7.5350 90.00 90.00 120.00
Fractional coordinates of all 15 atoms:
F 0.1718 0.8282 0.3210
F 0.6563 0.8282 0.3210
F 0.5000 0.5000 0.0000
K 0.6667 0.3333 0.3435
F 0.8282 0.6563 0.6790
Pd 0.6667 0.3333 0.8419
F 0.0000 0.5000 0.0000
F 0.5000 0.0000 0.0000
Pd 0.3333 0.6667 0.1581
F 0.1718 0.3437 0.3210
K 0.3333 0.6667 0.6565
K 0.0000 0.0000 0.0000
F 0.3437 0.1718 0.6790
F 0.8282 0.1718 0.6790
Ag 0.0000 0.0000 0.5000

Summary:
Uncorrected formation energy ... -1883 meV/atom

5.
Compound: TbPaP2
Source: the Alexandria database
Functional: PBE
Structure: optimized geometry

Lattice parameters (Å, degrees): 3.9397 3.9397 7.1906 74.10 74.10 60.00
Fractional coordinates of all 4 atoms:
P 0.2536 0.2536 0.2391
P 0.0810 0.0810 0.7570
Tb 0.4941 0.4941 0.5177
Pa 0.6713 0.6713 0.9862

Summary:
ΔE_f ... -1.3002 eV per atom
Excess energy over the best structure of this formula in the dataset ... 0.637 eV per formula unit

6.
Compound: Cs2BaAg2
Source: the Alexandria database
Functional: PBE
Structure: optimized geometry

Lattice parameters (Å, degrees): 5.2641 5.2641 9.0516 73.09 73.09 90.00
Fractional coordinates of all 5 atoms:
Cs 0.2500 0.7500 0.5000
Ag 0.4165 0.4165 0.1670
Cs 0.7500 0.2500 0.5000
Ba 0.0000 0.0000 0.0000
Ag 0.5835 0.5835 0.8330

Summary:
ΔE_f ... 0.0963 eV per atom
Excess energy over the best structure of this formula in the dataset ... 0.283 eV per formula unit